[1]
DFT (PBE) results for a relaxed structure of KNaCdBr4.

Geometry as extended XYZ:
```
14
Lattice="7.497 0.000 0.000 0.000 7.720 0.000 -2.460 0.000 8.552" Properties=species:S:1:pos:R:3 pbc="T T T"
K 1.542 1.930 0.418
K 3.495 5.790 8.134
Na 0.247 1.930 4.793
Na 4.790 5.790 3.758
Cd 1.076 5.790 2.817
Cd 3.961 1.930 5.734
Br -0.656 0.023 2.331
Br -0.656 3.838 2.331
Br 3.091 5.790 1.155
Br 2.167 5.790 5.176
Br 2.870 1.930 3.376
Br 1.946 1.930 7.397
Br 5.693 3.883 6.220
Br 5.693 7.698 6.220
```

Calculated values
Energy (eV per atom): -2.720
N(E_F) (states/eV/f.u.): 0.00



[2]
DFT (PBE) results for a relaxed structure of K3Na3CdBr8.

Geometry as extended XYZ:
```
15
Lattice="7.583 -4.373 0.000 7.583 4.373 0.000 -5.057 0.000 7.586" Properties=species:S:1:pos:R:3 pbc="T T T"
K 0.000 0.000 0.000
K 3.791 2.187 0.000
K 3.791 -2.187 0.000
Na 1.263 2.187 3.793
Na 1.263 -2.187 3.793
Na 5.054 0.000 3.793
Cd -2.529 0.000 3.793
Br -0.166 0.000 5.375
Br 3.872 2.326 5.376
Br 6.236 2.326 2.210
Br 2.524 0.000 2.098
Br 7.584 0.000 5.487
Br 3.872 -2.326 5.376
Br 6.236 -2.326 2.210
Br 10.274 0.000 2.211
```

Calculated values
Energy (eV per atom): -2.929
N(E_F) (states/eV/f.u.): 0.00



[3]
DFT (PBE) results for a relaxed structure of K2NaCdBr.

Geometry as extended XYZ:
```
5
Lattice="6.236 0.000 0.000 0.000 6.236 0.000 0.000 0.000 6.887" Properties=species:S:1:pos:R:3 pbc="T T T"
K 0.000 3.118 0.000
K 3.118 0.000 0.000
Na 0.000 0.000 3.444
Cd 3.118 3.118 3.444
Br 3.118 3.118 0.000
```

Calculated values
Energy (eV per atom): -1.662
N(E_F) (states/eV/f.u.): 0.32



[4]
DFT (PBE) results for a relaxed structure of KNdCd2Br8.

Geometry as extended XYZ:
```
12
Lattice="6.639 0.000 0.000 0.077 7.052 0.000 0.059 0.043 8.779" Properties=species:S:1:pos:R:3 pbc="T T T"
K 0.000 0.000 0.000
Nd 0.029 0.021 4.389
Cd 3.359 3.529 2.156
Cd 3.415 3.566 6.623
Br 1.804 5.872 6.385
Br 1.793 5.865 2.385
Br 1.822 2.429 4.387
Br 1.863 2.704 8.778
Br 4.912 4.391 0.001
Br 4.953 4.665 4.392
Br 4.982 1.230 6.394
Br 4.971 1.222 2.394
```

Calculated values
Energy (eV per atom): -3.038
N(E_F) (states/eV/f.u.): 0.00



[5]
DFT (PBE) results for a relaxed structure of KNpCdBr6.

Geometry as extended XYZ:
```
18
Lattice="7.435 0.000 0.000 -3.718 6.439 0.000 0.000 0.000 14.421" Properties=species:S:1:pos:R:3 pbc="T T T"
K 0.000 0.000 0.000
K 0.000 0.000 7.211
Np 0.000 4.293 3.605
Np 3.718 2.146 10.816
Cd 0.000 4.293 10.816
Cd 3.718 2.146 3.605
Br -1.331 2.400 9.189
Br -2.305 4.086 12.443
Br 1.331 2.400 12.443
Br -0.974 6.392 9.189
Br 2.744 0.047 1.978
Br 1.413 2.353 5.233
Br 2.305 4.086 9.189
Br 0.974 6.392 12.443
Br 4.691 0.047 5.233
Br 2.387 4.039 1.978
Br 6.022 2.353 1.978
Br 5.049 4.039 5.233
```

Calculated values
Energy (eV per atom): -4.037
N(E_F) (states/eV/f.u.): 8.63



[6]
DFT (PBE) results for a relaxed structure of K2CdBrO.

Geometry as extended XYZ:
```
5
Lattice="5.642 0.000 0.000 0.000 5.642 0.000 0.000 0.000 4.463" Properties=species:S:1:pos:R:3 pbc="T T T"
K 0.000 2.821 0.000
K 2.821 0.000 0.000
Cd 0.000 0.000 2.232
Br 2.821 2.821 2.232
O 0.000 0.000 0.000
```

Calculated values
Energy (eV per atom): -3.076
N(E_F) (states/eV/f.u.): 0.50



[7]
DFT (PBE) results for a relaxed structure of K5CdBrO2.

Geometry as extended XYZ:
```
9
Lattice="5.437 0.000 0.000 0.000 5.437 0.000 0.000 0.000 9.727" Properties=species:S:1:pos:R:3 pbc="T T T"
K 0.000 0.000 0.000
K 0.000 2.719 2.650
K 0.000 2.719 7.077
K 2.719 0.000 2.650
K 2.719 0.000 7.077
Cd 0.000 0.000 4.864
Br 2.719 2.719 0.000
O 0.000 0.000 2.632
O 0.000 0.000 7.095
```

Calculated values
Energy (eV per atom): -3.002
N(E_F) (states/eV/f.u.): 1.76



[8]
DFT (PBE) results for a relaxed structure of KCdPbBr6.

Geometry as extended XYZ:
```
18
Lattice="7.377 0.000 0.000 -3.689 6.389 0.000 0.000 0.000 14.522" Properties=species:S:1:pos:R:3 pbc="T T T"
K 0.000 0.000 0.000
K 0.000 0.000 7.261
Cd 0.000 4.259 3.631
Cd 3.689 2.130 10.892
Pb 0.000 4.259 10.892
Pb 3.689 2.130 3.631
Br -1.315 2.408 1.964
Br -2.261 4.046 5.297
Br 1.315 2.408 5.297
Br -0.946 6.324 1.964
Br 2.743 0.065 9.225
Br 1.428 2.343 12.559
Br 2.261 4.046 1.964
Br 0.946 6.324 5.297
Br 4.635 0.065 12.559
Br 2.374 3.981 9.225
Br 5.949 2.343 9.225
Br 5.003 3.981 12.559
```

Calculated values
Energy (eV per atom): -2.678
N(E_F) (states/eV/f.u.): 6.79



[9]
DFT (PBE) results for a relaxed structure of KCdPdBr6.

Geometry as extended XYZ:
```
9
Lattice="3.627 -5.889 0.000 3.627 5.889 0.000 -0.333 0.000 7.284" Properties=species:S:1:pos:R:3 pbc="T T T"
K 0.000 0.000 0.000
Cd 3.461 2.101 3.642
Pd 3.461 -1.969 3.642
Br 2.577 -0.158 2.159
Br 1.229 -2.162 5.309
Br 2.312 -3.680 2.195
Br 4.345 -0.158 5.125
Br 4.609 -3.680 5.090
Br 5.692 -2.162 1.976
```

Calculated values
Energy (eV per atom): -2.670
N(E_F) (states/eV/f.u.): 0.44



[10]
DFT (PBE) results for a relaxed structure of KPmCd2Br8.

Geometry as extended XYZ:
```
12
Lattice="6.621 0.000 0.000 0.079 7.028 0.000 0.063 0.044 8.774" Properties=species:S:1:pos:R:3 pbc="T T T"
K 0.000 0.000 0.000
Pm 0.032 0.022 4.387
Cd 3.351 3.516 2.158
Cd 3.412 3.556 6.617
Br 1.796 5.859 6.370
Br 1.784 5.852 2.395
Br 1.812 2.415 4.385
Br 1.861 2.700 8.773
Br 4.903 4.372 0.002
Br 4.951 4.657 4.389
Br 4.979 1.220 6.380
Br 4.967 1.213 2.404
```

Calculated values
Energy (eV per atom): -3.037
N(E_F) (states/eV/f.u.): 0.00



[11]
DFT (PBE) results for a relaxed structure of KPmCdBr6.

Geometry as extended XYZ:
```
18
Lattice="7.376 0.000 0.000 -3.688 6.388 0.000 0.000 0.000 14.565" Properties=species:S:1:pos:R:3 pbc="T T T"
K 0.000 0.000 0.000
K 0.000 0.000 7.282
Pm 0.000 4.259 3.641
Pm 3.688 2.129 10.924
Cd 0.000 4.259 10.924
Cd 3.688 2.129 3.641
Br -1.326 2.386 9.274
Br -2.285 4.047 12.574
Br 1.326 2.386 12.574
Br -0.959 6.343 9.274
Br 2.729 0.044 1.991
Br 1.403 2.341 5.291
Br 2.285 4.047 9.274
Br 0.959 6.343 12.574
Br 4.647 0.044 5.291
Br 2.362 4.002 1.991
Br 5.973 2.341 1.991
Br 5.014 4.002 5.291
```

Calculated values
Energy (eV per atom): -3.382
N(E_F) (states/eV/f.u.): 0.00



[12]
DFT (PBE) results for a relaxed structure of KPuCdBr6.

Geometry as extended XYZ:
```
18
Lattice="7.419 0.000 0.000 -3.709 6.425 0.000 0.000 0.000 14.396" Properties=species:S:1:pos:R:3 pbc="T T T"
K 0.000 0.000 0.000
K 0.000 0.000 7.198
Pu 0.000 4.283 3.599
Pu 3.709 2.142 10.797
Cd 0.000 4.283 10.797
Cd 3.709 2.142 3.599
Br -1.328 2.390 9.176
Br -2.304 4.080 12.417
Br 1.328 2.390 12.417
Br -0.976 6.380 9.176
Br 2.734 0.044 1.978
Br 1.405 2.345 5.220
Br 2.304 4.080 9.176
Br 0.976 6.380 12.417
Br 4.685 0.044 5.220
Br 2.381 4.035 1.978
Br 6.013 2.345 1.978
Br 5.038 4.035 5.220
```

Calculated values
Energy (eV per atom): -4.280
N(E_F) (states/eV/f.u.): 11.76